! Pm12TlGe6, optimized geometry, DFT PBE; values from VASP
! VASP energy in eV/atom: -5.0033
&SYSTEM
  ibrav = 0, nat = 19, ntyp = 3
/
ATOMIC_SPECIES
Pm 145.00 Pm.upf
Tl 204.38 Tl.upf
Ge 72.64 Ge.upf
ATOMIC_POSITIONS crystal
Pm 0.0000 0.3684 0.6316
Pm 0.0000 0.6316 0.3684
Pm 0.0565 0.0565 0.3232
Pm 0.0565 0.3232 0.0565
Pm 0.3232 0.0565 0.0565
Pm 0.3684 0.0000 0.6316
Pm 0.3684 0.6316 0.0000
Pm 0.6316 0.0000 0.3684
Pm 0.6316 0.3684 0.0000
Pm 0.6768 0.9435 0.9435
Pm 0.9435 0.6768 0.9435
Pm 0.9435 0.9435 0.6768
Tl 0.5000 0.5000 0.5000
Ge 0.1811 0.7452 0.7452
Ge 0.2548 0.2548 0.8189
Ge 0.2548 0.8189 0.2548
Ge 0.7452 0.1811 0.7452
Ge 0.7452 0.7452 0.1811
Ge 0.8189 0.2548 0.2548
CELL_PARAMETERS angstrom
6.9655 4.0216 3.6068
-6.9655 4.0216 3.6068
0.0000 -8.0431 3.6068